[1]
# PaZnFeIr

Crystalline PaZnFeIr at its relaxed geometry (PBE, Alexandria via LeMat-Bulk).

Geometry as POSCAR:
```
PaZnFeIr
1.0
0.0000 3.2347 3.2347
3.2347 0.0000 3.2347
3.2347 3.2347 0.0000
Pa Zn Fe Ir
1 1 1 1
direct
0.0000 0.0000 0.0000
0.5000 0.5000 0.5000
0.7500 0.7500 0.7500
0.2500 0.2500 0.2500
```

Properties
- Formation energy: -249 meV per atom
- Magnetization: 0.79 μB per formula unit

[2]
# YTa2I

Crystalline YTa2I at its relaxed geometry (PBE, Alexandria via LeMat-Bulk).

Geometry as POSCAR:
```
YTa2I
1.0
0.0000 3.5158 3.5158
3.5158 0.0000 3.5158
3.5158 3.5158 0.0000
Y Ta I
1 2 1
direct
0.0000 0.0000 0.0000
0.2500 0.2500 0.2500
0.7500 0.7500 0.7500
0.5000 0.5000 0.5000
```

Properties
- Magnetization: 0.00 μB per formula unit
- Energy relative to the elements, uncorrected: 102 kJ/mol of atoms

[3]
# CsRbY2Mo

Crystalline CsRbY2Mo at its relaxed geometry (PBE, Alexandria via LeMat-Bulk).

Geometry as POSCAR:
```
CsRbY2Mo
1.0
5.7745 0.0000 0.0000
0.0000 5.7745 0.0000
0.0000 0.0000 6.1793
Cs Rb Y Mo
1 1 2 1
direct
0.0000 0.0000 0.0000
0.0000 0.0000 0.5000
0.0000 0.5000 0.0000
0.5000 0.0000 0.0000
0.5000 0.5000 0.5000
```

Properties
- Formation energy: 2077 meV per atom
- Magnetization: 3.81 μB per formula unit

[4]
# CrCuOs

Crystalline CrCuOs at its relaxed geometry (PBE, Alexandria via LeMat-Bulk).

Geometry as POSCAR:
```
CrCuOs
1.0
-1.3241 1.8645 3.8696
1.3241 -1.8645 3.8696
1.3241 1.8645 -3.8696
Cr Cu Os
1 1 1
direct
0.0000 0.0000 0.0000
0.6678 0.6678 0.0000
0.3362 0.3362 0.0000
```

Properties
- Formation energy: 203 meV per atom
- Magnetization: 0.00 μB per formula unit

What did the third record say?
# CsRbY2Mo

Crystalline CsRbY2Mo at its relaxed geometry (PBE, Alexandria via LeMat-Bulk).

Geometry as POSCAR:
```
CsRbY2Mo
1.0
5.7745 0.0000 0.0000
0.0000 5.7745 0.0000
0.0000 0.0000 6.1793
Cs Rb Y Mo
1 1 2 1
direct
0.0000 0.0000 0.0000
0.0000 0.0000 0.5000
0.0000 0.5000 0.0000
0.5000 0.0000 0.0000
0.5000 0.5000 0.5000
```

Properties
- Formation energy: 2077 meV per atom
- Magnetization: 3.81 μB per formula unit